No. 1
First-principles (SCAN) data for SrScAs2 at its PBEsol-relaxed geometry, as listed in Alexandria via LeMat-Bulk.

Calculated values
formation energy from the elements = -0.799 eV per atom

Cell lengths 4.911, 4.911, 3.725 Å; angles 90.00, 90.00, 90.00 degrees
Positions (direct):
Sr (0.000, 0.000, 0.000)
Sc (0.500, 0.500, 0.000)
As (0.000, 0.500, 0.500)
As (0.500, 0.000, 0.500)

No. 2
First-principles (SCAN) data for TlSnOs2Pt at its PBEsol-relaxed geometry, as listed in Alexandria via LeMat-Bulk.

Calculated values
formation energy from the elements = 1.781 eV per atom

Cell lengths 4.811, 4.811, 5.001 Å; angles 90.00, 90.00, 90.00 degrees
Positions (direct):
Tl (0.000, 0.000, 0.000)
Sn (0.500, 0.500, 0.000)
Os (0.000, 0.500, 0.500)
Os (0.500, 0.000, 0.500)
Pt (0.500, 0.500, 0.500)

No. 3
First-principles (SCAN) data for Mn4TePb at its PBEsol-relaxed geometry, as listed in Alexandria via LeMat-Bulk.

Calculated values
formation energy without anion corrections = 0.3138 eV/atom

Cell lengths 5.099, 5.099, 5.099 Å; angles 60.00, 60.00, 60.00 degrees
Positions (direct):
Mn (0.125, 0.125, 0.125)
Mn (0.125, 0.125, 0.625)
Mn (0.125, 0.625, 0.125)
Mn (0.625, 0.125, 0.125)
Te (0.750, 0.750, 0.750)
Pb (0.500, 0.500, 0.500)

Calculated values (Ry/atom) of total DFT energy (no corrections) for the records, taken in order: -1.472, -4.606, -2.256.
Calculated values (Bohr magnetons per cell) of spin magnetization for the records, taken in order: 0.00, 0.00, 10.98.
Calculated values (g/cm³) of theoretical density for the records, taken in order: 5.2, 12.9, 9.8.